First-principles (PBE) data for Ni3HRu after structural relaxation, as listed in the Alexandria database.

```
5
Lattice="4.4963 0.0000 0.0000 0.0000 4.4963 0.0000 0.0000 0.0000 4.4963" Properties=species:S:1:pos:R:3 pbc="T T T"
Ni 2.2481 0.0000 0.0000
Ni 0.0000 0.0000 2.2481
Ni 0.0000 2.2481 0.0000
Ru 0.0000 0.0000 0.0000
H 2.2481 2.2481 2.2481
```

Properties
The value obtained for the spin magnetization is 2.46 μB/f.u. Its energy above the most stable polymorph in this dataset is 1686 meV/atom.


First-principles (PBE) data for Ni2HRu after structural relaxation, as listed in the Alexandria database.

```
4
Lattice="0.0000 2.8177 2.8177 2.8177 0.0000 2.8177 2.8177 2.8177 0.0000" Properties=species:S:1:pos:R:3 pbc="T T T"
Ru 2.8177 2.8177 2.8177
H 0.0000 0.0000 0.0000
Ni 4.2265 4.2265 4.2265
Ni 1.4088 1.4088 1.4088
```

Properties
The value obtained for the spin magnetization is 2.98 μB/f.u. Its energy above the most stable polymorph in this dataset is 752 meV/atom.


First-principles (PBE) data for NiH3Ru after structural relaxation, as listed in the Alexandria database.

```
5
Lattice="3.2171 0.0000 0.0000 0.0000 3.2171 0.0000 0.0000 0.0000 3.2171" Properties=species:S:1:pos:R:3 pbc="T T T"
H 1.6085 0.0000 0.0000
H 0.0000 1.6085 0.0000
Ru 1.6085 1.6085 1.6085
Ni 0.0000 0.0000 0.0000
H 0.0000 0.0000 1.6085
```

Properties
The value obtained for the spin magnetization is 0.57 μB/f.u. Its energy above the most stable polymorph in this dataset is 0 meV/atom.


First-principles (PBE) data for NiHRu after structural relaxation, as listed in the Alexandria database.

```
6
Lattice="3.7472 0.0000 0.0003 0.0000 2.7427 0.0000 -0.1529 0.0000 5.4650" Properties=species:S:1:pos:R:3 pbc="T T T"
Ni 2.6759 2.0571 2.0613
Ni 0.9184 0.6857 3.4040
Ru 2.6324 2.0571 4.8921
H -0.0427 2.0571 3.4318
Ru 0.9618 0.6857 0.5732
H 3.6370 0.6857 2.0336
```

Properties
The value obtained for the spin magnetization is 0.00 μB/f.u. Its energy above the most stable polymorph in this dataset is 54 meV/atom.


First-principles (PBE) data for Ni2HRu after structural relaxation, as listed in the Alexandria database.

```
4
Lattice="-0.3388 0.5346 -2.5600 -0.3028 -1.9679 -1.7291 -6.4676 -0.2790 -0.5606" Properties=species:S:1:pos:R:3 pbc="T T T"
Ni -5.4044 -0.3128 -0.7084
H -6.8920 -1.2346 -3.4205
Ru -3.5503 -0.8563 -2.4255
Ni -1.2848 -0.4437 -1.2809
```

Properties
The value obtained for the spin magnetization is 0.00 μB/f.u. Its energy above the most stable polymorph in this dataset is 0 meV/atom.


First-principles (PBE) data for NiHRu after structural relaxation, as listed in the Alexandria database.

```
12
Lattice="-3.9600 -1.3159 -1.7863 0.3713 -2.5149 1.0295 -2.6726 2.8853 8.0118" Properties=species:S:1:pos:R:3 pbc="T T T"
Ni -4.7466 1.7015 5.8681
Ni -3.2246 -0.9986 2.3770
Ru -5.1923 0.6552 3.4731
H 0.0000 0.0000 0.0000
Ru -3.6704 -2.0449 -0.0180
Ni -1.8861 -0.1322 0.3573
H -1.1507 0.1852 4.5207
H -1.7944 -1.9154 -0.3784
Ru -2.5910 1.0993 7.2731
H -3.3163 0.7847 3.1127
Ru -1.4403 0.9141 2.7524
Ni -3.0367 0.0530 4.8780
```

Properties
The value obtained for the spin magnetization is 0.00 μB/f.u. Its energy above the most stable polymorph in this dataset is 39 meV/atom.


First-principles (PBE) data for Ni2HRu after structural relaxation, as listed in the Alexandria database.

```
4
Lattice="-2.0772 -0.9608 -1.1791 -0.7483 -2.4168 0.4768 -5.0095 1.1771 5.0551" Properties=species:S:1:pos:R:3 pbc="T T T"
Ru 0.0000 0.0000 0.0000
H -3.9175 -1.1002 2.1764
Ni -4.2358 -2.5791 1.1317
Ni -3.5991 0.3786 3.2212
```

Properties
The value obtained for the spin magnetization is 0.00 μB/f.u. Its energy above the most stable polymorph in this dataset is 285 meV/atom.


First-principles (PBE) data for Ni2HRu after structural relaxation, as listed in the Alexandria database.

```
8
Lattice="-2.0079 -2.6654 -4.2602 4.7799 0.4031 -2.5050 2.1668 -3.4931 -2.2729" Properties=species:S:1:pos:R:3 pbc="T T T"
H 4.1664 -2.1106 -4.0803
Ru 0.0000 0.0000 0.0000
Ni 0.1352 -2.1556 -3.0115
Ru 0.7725 -3.6448 -4.9579
Ni 3.0272 -1.2876 -3.1988
Ni 3.2621 -3.4178 -4.5547
H 1.3860 -1.1311 -3.3826
Ni 3.4533 -4.6497 -7.3112
```

Properties
The value obtained for the spin magnetization is 0.00 μB/f.u. Its energy above the most stable polymorph in this dataset is 275 meV/atom.


First-principles (PBE) data for NiHRu after structural relaxation, as listed in the Alexandria database.

```
6
Lattice="-0.7034 -3.5054 -1.1196 5.0889 -1.3307 0.9690 -0.6610 -0.6785 2.5397" Properties=species:S:1:pos:R:3 pbc="T T T"
H 1.6299 -0.8519 1.6431
Ni 1.2474 -2.5965 1.0775
Ru 3.8366 -3.2736 1.5705
Ni 3.1593 -0.8261 0.6016
Ru 0.5701 -0.1491 0.1085
H 2.7768 -2.5708 0.0359
```

Properties
The value obtained for the spin magnetization is 0.00 μB/f.u. Its energy above the most stable polymorph in this dataset is 0 meV/atom.


First-principles (PBE) data for NiHRu after structural relaxation, as listed in the Alexandria database.

```
6
Lattice="3.7851 0.0000 -0.0001 0.0000 2.7104 0.0000 -0.0629 0.0000 5.4300" Properties=species:S:1:pos:R:3 pbc="T T T"
Ni 1.1813 0.0000 2.9168
Ru 1.2761 0.0000 0.2784
Ru 3.1919 1.3552 1.4532
Ni 3.1335 1.3552 4.2758
H 1.0510 1.3552 4.4116
H 2.1979 1.3552 2.9243
```

Properties
The value obtained for the spin magnetization is 0.00 μB/f.u. Its energy above the most stable polymorph in this dataset is 52 meV/atom.


First-principles (PBE) data for NiHRu after structural relaxation, as listed in the Alexandria database.

```
3
Lattice="2.5566 0.0000 0.0000 0.0000 2.5566 0.0000 -1.2783 -1.2783 5.0743" Properties=species:S:1:pos:R:3 pbc="T T T"
Ru 0.0000 0.0000 1.1513
Ni 1.2783 1.2783 2.9373
H 1.2783 1.2783 4.5377
```

Properties
The value obtained for the spin magnetization is 0.00 μB/f.u. Its energy above the most stable polymorph in this dataset is 402 meV/atom.


First-principles (PBE) data for NiH3Ru after structural relaxation, as listed in the Alexandria database.

```
5
Lattice="3.3644 0.0000 0.0000 0.0000 3.3644 0.0000 0.0000 0.0000 3.3644" Properties=species:S:1:pos:R:3 pbc="T T T"
Ni 1.6822 1.6822 1.6822
H 0.0000 1.6822 0.0000
H 0.0000 0.0000 1.6822
Ru 0.0000 0.0000 0.0000
H 1.6822 0.0000 0.0000
```

Properties
The value obtained for the spin magnetization is 1.06 μB/f.u. Its energy above the most stable polymorph in this dataset is 62 meV/atom.